The following is a DFT calculation (GGA-PBE) of a relaxed structure of RbLiNdI5.

a = 8.650 Å, b = 8.650 Å, c = 11.717 Å
α = 103.55°, β = 103.55°, γ = 107.21°
Fractional coordinates of all 16 atoms:
Rb 0.146 0.854 0.750
Rb 0.854 0.146 0.250
Li 0.192 0.808 0.250
Li 0.808 0.192 0.750
Nd 0.500 0.500 0.000
Nd 0.500 0.500 0.500
I 0.120 0.257 0.932
I 0.184 0.587 0.388
I 0.257 0.120 0.432
I 0.413 0.816 0.112
I 0.416 0.584 0.750
I 0.584 0.416 0.250
I 0.587 0.184 0.888
I 0.743 0.880 0.568
I 0.816 0.413 0.612
I 0.880 0.743 0.068

## Properties
Symmetry: No. 15
ΔE_f (raw), eV per formula unit: -10.98
Calculated volume, Å³ per atom: 48.09
Spin magnetization, Bohr magnetons per cell: 0.00